(1)
Material: CdSnPtRh
Method: DFT, PBE-GGA
State: relaxed

Calculated values
- E_tot: -19.52 eV for the cell shown
- Energy of formation: -0.30 eV/atom

a b c (Å): 4.620 4.620 4.620
angles (deg): 60.00 60.00 60.00
Fractional positions:
Cd 0.000 0.000 0.000
Sn 0.500 0.500 0.500
Pt 0.750 0.750 0.750
Rh 0.250 0.250 0.250

***

(2)
Material: Sr2Cd6PtRh
Method: DFT, PBE-GGA
State: relaxed

Calculated values
- E_tot: -24.64 eV for the cell shown
- Energy of formation: -0.24 eV/atom

a b c (Å): 7.387 7.387 7.387
angles (deg): 60.00 60.00 60.00
Fractional positions:
Sr 0.250 0.250 0.250
Sr 0.750 0.750 0.750
Cd 0.248 0.248 0.752
Cd 0.248 0.752 0.248
Cd 0.248 0.752 0.752
Cd 0.752 0.248 0.248
Cd 0.752 0.248 0.752
Cd 0.752 0.752 0.248
Pt 0.500 0.500 0.500
Rh 0.000 0.000 0.000

***

(3)
Material: TbCdPtRh
Method: DFT, PBE-GGA
State: relaxed

Calculated values
- E_tot: -21.92 eV for the cell shown
- Energy relative to the lowest polymorph listed for this composition: 0 meV/atom
- Energy of formation: -0.74 eV/atom

a b c (Å): 3.790 4.406 4.463
angles (deg): 90.00 90.00 90.00
Fractional positions:
Tb 0.000 0.000 0.000
Cd 0.000 0.500 0.500
Pt 0.500 0.000 0.500
Rh 0.500 0.500 0.000

***

(4)
Material: TbCdPtRh
Method: DFT, PBE-GGA
State: relaxed

Calculated values
- E_tot: -21.70 eV for the cell shown
- Energy relative to the lowest polymorph listed for this composition: 55 meV/atom
- Energy of formation: -0.69 eV/atom

a b c (Å): 4.751 4.751 4.751
angles (deg): 60.00 60.00 60.00
Fractional positions:
Tb 0.000 0.000 0.000
Cd 0.500 0.500 0.500
Pt 0.750 0.750 0.750
Rh 0.250 0.250 0.250

***

(5)
Material: ThCdPtRh
Method: DFT, PBE-GGA
State: relaxed

Calculated values
- E_tot: -24.53 eV for the cell shown
- Energy of formation: -0.70 eV/atom

a b c (Å): 4.886 4.886 4.886
angles (deg): 60.00 60.00 60.00
Fractional positions:
Th 0.000 0.000 0.000
Cd 0.500 0.500 0.500
Pt 0.250 0.250 0.250
Rh 0.750 0.750 0.750

***

(6)
Material: TlCdPtRh
Method: DFT, PBE-GGA
State: relaxed

Calculated values
- E_tot: -16.88 eV for the cell shown
- Energy of formation: -0.05 eV/atom

a b c (Å): 4.664 4.664 4.664
angles (deg): 60.00 60.00 60.00
Fractional positions:
Tl 0.000 0.000 0.000
Cd 0.500 0.500 0.500
Pt 0.750 0.750 0.750
Rh 0.250 0.250 0.250

***

(7)
Material: TmCdPtRh
Method: DFT, PBE-GGA
State: relaxed

Calculated values
- E_tot: -21.77 eV for the cell shown
- Energy of formation: -0.75 eV/atom

a b c (Å): 4.702 4.702 4.702
angles (deg): 60.00 60.00 60.00
Fractional positions:
Tm 0.000 0.000 0.000
Cd 0.500 0.500 0.500
Pt 0.250 0.250 0.250
Rh 0.750 0.750 0.750

***

(8)
Material: Tm4CdPtRh2
Method: DFT, PBE-GGA
State: relaxed

Calculated values
- E_tot: -46.37 eV for the cell shown
- Energy of formation: -0.85 eV/atom

a b c (Å): 8.523 8.523 8.523
angles (deg): 33.43 33.43 33.43
Fractional positions:
Tm 0.120 0.120 0.120
Tm 0.371 0.371 0.371
Tm 0.629 0.629 0.629
Tm 0.880 0.880 0.880
Cd 0.500 0.500 0.500
Pt 0.000 0.000 0.000
Rh 0.248 0.248 0.248
Rh 0.752 0.752 0.752

***

(9)
Material: UCdPtRh
Method: DFT, PBE-GGA
State: relaxed

Calculated values
- E_tot: -27.29 eV for the cell shown
- Energy of formation: -0.42 eV/atom

a b c (Å): 4.765 4.765 4.765
angles (deg): 60.00 60.00 60.00
Fractional positions:
U 0.000 0.000 0.000
Cd 0.500 0.500 0.500
Pt 0.250 0.250 0.250
Rh 0.750 0.750 0.750

***

(10)
Material: CdPtRhW
Method: DFT, PBE-GGA
State: relaxed

Calculated values
- E_tot: -28.28 eV for the cell shown
- Energy of formation: -0.25 eV/atom

a b c (Å): 2.865 2.865 7.941
angles (deg): 90.00 90.00 90.00
Fractional positions:
Cd 0.000 0.000 0.000
Pt 0.500 0.500 0.724
Rh 0.500 0.500 0.265
W 0.000 0.000 0.486

***

(11)
Material: YCdPtRh
Method: DFT, PBE-GGA
State: relaxed

Calculated values
- E_tot: -23.52 eV for the cell shown
- Energy of formation: -0.69 eV/atom

a b c (Å): 4.748 4.748 4.748
angles (deg): 60.00 60.00 60.00
Fractional positions:
Y 0.000 0.000 0.000
Cd 0.500 0.500 0.500
Pt 0.750 0.750 0.750
Rh 0.250 0.250 0.250

***

(12)
Material: CdRuPt2
Method: DFT, PBE-GGA
State: relaxed

Calculated values
- E_tot: -22.24 eV for the cell shown
- Energy of formation: 0.01 eV/atom

a b c (Å): 2.801 4.647 4.955
angles (deg): 90.00 90.00 90.00
Fractional positions:
Cd 0.000 0.000 0.000
Ru 0.000 0.500 0.365
Pt 0.500 0.000 0.490
Pt 0.500 0.500 0.838

***

(13)
Material: CdRu2Pt
Method: DFT, PBE-GGA
State: relaxed

Calculated values
- E_tot: -24.43 eV for the cell shown
- Energy of formation: 0.27 eV/atom

a b c (Å): 2.802 2.802 8.038
angles (deg): 90.00 90.00 90.00
Fractional positions:
Cd 0.000 0.000 0.000
Ru 0.500 0.500 0.268
Ru 0.500 0.500 0.732
Pt 0.000 0.000 0.500

***

(14)
Material: CdRu2Pt
Method: DFT, PBE-GGA
State: relaxed

Calculated values
- E_tot: -24.12 eV for the cell shown
- Energy of formation: 0.35 eV/atom

a b c (Å): 2.766 4.776 4.876
angles (deg): 90.00 94.01 90.00
Fractional positions:
Cd 0.000 0.000 0.000
Ru 0.299 0.500 0.741
Ru 0.701 0.500 0.259
Pt 0.500 0.000 0.500

***

(15)
Material: CdRu2Pt
Method: DFT, PBE-GGA
State: relaxed

Calculated values
- E_tot: -24.26 eV for the cell shown
- Energy of formation: 0.31 eV/atom

a b c (Å): 3.897 3.897 4.152
angles (deg): 90.00 90.00 90.00
Fractional positions:
Cd 0.000 0.000 0.000
Ru 0.000 0.500 0.500
Ru 0.500 0.000 0.500
Pt 0.500 0.500 0.000

***

(16)
Material: CdRu2Pt
Method: DFT, PBE-GGA
State: relaxed

Calculated values
- E_tot: -24.02 eV for the cell shown
- Energy of formation: 0.37 eV/atom

a b c (Å): 3.159 3.159 6.463
angles (deg): 90.00 90.00 90.00
Fractional positions:
Cd 0.000 0.000 0.000
Ru 0.500 0.500 0.278
Ru 0.500 0.500 0.722
Pt 0.000 0.000 0.500

***

(17)
Material: CdRuPt2
Method: DFT, PBE-GGA
State: relaxed

Calculated values
- E_tot: -22.05 eV for the cell shown
- Energy of formation: 0.06 eV/atom

a b c (Å): 4.903 4.903 4.903
angles (deg): 131.76 131.76 70.61
Fractional positions:
Cd 0.000 0.000 0.000
Ru 0.500 0.500 0.000
Pt 0.250 0.750 0.500
Pt 0.750 0.250 0.500

***

(18)
Material: CdRuPt2
Method: DFT, PBE-GGA
State: relaxed

Calculated values
- E_tot: -22.33 eV for the cell shown
- Energy of formation: -0.02 eV/atom

a b c (Å): 4.912 4.912 2.811
angles (deg): 90.00 90.00 109.48
Fractional positions:
Cd 0.000 0.000 0.000
Ru 0.500 0.500 0.000
Pt 0.000 0.500 0.500
Pt 0.500 0.000 0.500

***

(19)
Material: CdRu2Pt
Method: DFT, PBE-GGA
State: relaxed

Calculated values
- E_tot: -44.89 eV for the cell shown
- Energy of formation: 0.77 eV/atom

a b c (Å): 5.845 5.845 5.845
angles (deg): 101.67 101.67 126.53
Fractional positions:
Cd 0.000 0.000 0.000
Cd 0.750 0.250 0.500
Ru 0.157 0.625 0.032
Ru 0.375 0.407 0.532
Ru 0.593 0.125 0.968
Ru 0.875 0.843 0.468
Pt 0.250 0.750 0.500
Pt 0.500 0.500 0.000

***

(20)
Material: Cd2RuPt2
Method: DFT, PBE-GGA
State: relaxed

Calculated values
- E_tot: -45.17 eV for the cell shown
- Energy of formation: 0.12 eV/atom

a b c (Å): 6.757 6.757 4.097
angles (deg): 90.00 90.00 90.00
Fractional positions:
Cd 0.170 0.330 0.000
Cd 0.330 0.830 0.000
Cd 0.670 0.170 0.000
Cd 0.830 0.670 0.000
Ru 0.000 0.000 0.500
Ru 0.500 0.500 0.500
Pt 0.136 0.636 0.500
Pt 0.364 0.136 0.500
Pt 0.636 0.864 0.500
Pt 0.864 0.364 0.500